Material: ScCl3
Method: DFT, GGA-PBE
State: optimized geometry

a = 11.572 Å, b = 11.572 Å, c = 11.572 Å
α = 18.95°, β = 18.95°, γ = 18.95°
Last column: magnetic moment on the atom in μB.
Positions (direct):
Cl 0.500 0.500 0.500  0.68
Cl 0.934 0.934 0.934  0.00
Cl 0.066 0.066 0.066  0.00
Sc 0.000 0.000 0.000  0.17

Computed properties:
Its magnetic moment is 1.2 μB/f.u. For the density of states at the Fermi level, the calculation gives 3.58 states/eV/f.u. The value obtained for the raw formation energy is -547.4 meV/atom. The density comes out at 1760 kg/m3.